Density functional theory data (PBE) for a relaxed Th6GeSb2Se3 crystal.

Structure (POSCAR):
```
Th6GeSb2Se3
1.0
4.3434 0.0000 0.0000
0.0000 8.6220 0.4609
-2.1717 -2.3184 9.0687
Sb Se Ge Th
2 3 1 6
Cartesian
0.0000 2.1336 3.1816
2.1717 4.1700 6.3480
2.1717 -0.1266 6.0473
2.1717 4.3110 0.2305
0.0000 6.4302 3.4823
2.1717 0.0000 0.0000
0.0000 1.8806 6.3473
2.1717 -0.1575 2.9822
0.0000 6.4612 6.5474
0.0000 6.5228 0.4557
2.1717 -0.2192 9.0739
2.1717 4.4230 3.1823
```

Calculated values
Space-group type   C2/m
Raw formation energy   -14.589 eV per formula unit
Fermi-level density of states   0.73 states/eV/atom
Size of the total moment   0.000 μB per formula unit

Density functional theory data (PBE) for a relaxed Th8GeSb4Se3 crystal.

Structure (POSCAR):
```
Th8GeSb4Se3
1.0
-8.4454 2.2387 -0.2334
-2.1948 -7.9867 2.8132
5.6762 4.8277 4.5653
Se Th Sb Ge
3 8 4 1
Cartesian
-2.4820 -0.4602 3.5725
-5.3201 -2.8740 1.2899
1.7407 -1.5795 3.6892
-2.2908 0.6193 6.3751
-4.0686 2.0207 2.9525
0.1521 0.8918 3.0495
-6.9285 -0.4117 0.6524
1.9645 -0.5087 6.4927
-0.8955 -2.9410 4.1925
-5.1162 -1.8121 4.0955
-2.6733 -1.5396 0.7700
-1.3846 3.5332 2.1659
2.8381 2.4138 2.2826
-4.2227 1.1193 -0.1167
0.0000 0.0000 0.0000
-1.0974 -3.9934 1.4066
```

Calculated values
Space-group type   R-3m
Raw formation energy   -18.323 eV per formula unit
Fermi-level density of states   0.70 states/eV/atom
Size of the total moment   0.000 μB per formula unit

Density functional theory data (PBE) for a relaxed Th6Ge2SbSe3 crystal.

Structure (POSCAR):
```
Th6Ge2SbSe3
1.0
-1.7356 -1.6319 3.6096
7.4279 -3.8026 1.8525
1.8920 9.0418 2.4066
Th Ge Se Sb
6 2 3 1
Cartesian
3.8047 3.8465 3.5685
3.7795 -0.2392 4.3002
5.6003 4.5603 7.3456
7.4098 1.9270 4.4341
0.1744 1.6803 3.4345
1.9839 -0.9530 0.5231
4.7700 2.1231 5.8445
2.8142 1.4842 2.0242
6.5144 -0.4893 2.9112
2.8461 -2.7172 2.7310
1.0698 4.0966 4.9575
-0.8678 -0.8160 1.8048
```

Calculated values
Space-group type   C2/m
Raw formation energy   -14.581 eV per formula unit
Fermi-level density of states   0.71 states/eV/atom
Size of the total moment   0.000 μB per formula unit

Density functional theory data (PBE) for a relaxed TlGeSbSe3 crystal.

Structure (POSCAR):
```
TlGeSbSe3
1.0
4.0014 0.0000 0.0000
0.0000 9.4777 1.0790
0.0000 -3.3532 8.8920
Se Ge Sb Tl
6 2 2 2
Cartesian
1.0004 -1.4317 7.3826
3.0011 7.5561 2.5883
1.0004 5.1053 5.0029
1.0004 2.6499 8.2303
3.0011 1.0191 4.9680
3.0011 3.4745 1.7406
3.0011 6.8285 5.0444
1.0004 -0.7041 4.9265
3.0011 0.5857 7.8649
1.0004 5.5387 2.1060
3.0011 5.0948 7.9091
1.0004 1.0296 2.0619
```

Calculated values
Space-group type   P2_1/m
Raw formation energy   -1.755 eV per formula unit
Size of the total moment   0.000 μB per formula unit

Density functional theory data (PBE) for a relaxed Tl2GeSbSe4 crystal.

Structure (POSCAR):
```
Tl2GeSbSe4
1.0
-2.5511 0.1757 5.6461
1.4578 -9.1292 0.9427
8.4345 1.7349 3.7569
Sb Ge Tl Se
2 2 4 8
Cartesian
2.0013 -0.6146 7.5377
-0.0104 -7.3934 3.4375
4.2199 -7.1783 5.5877
0.1379 -0.9928 0.1488
5.9602 -1.8492 5.6754
0.8812 -5.2203 6.8876
1.3251 -2.8026 3.6108
4.6807 -4.4388 8.5799
-0.2039 -1.8199 6.2382
4.6835 -0.8146 8.4152
-1.0859 -7.4961 5.8994
3.4199 -0.5356 4.3165
-0.8943 -0.8939 2.4205
2.4502 -6.2058 4.1718
3.1967 -7.1356 7.8653
5.9972 -5.4762 5.7517
```

Calculated values
Space-group type   Pmn2_1
Raw formation energy   -2.082 eV per formula unit
Fermi-level density of states   0.27 states/eV/atom
Size of the total moment   0.000 μB per formula unit

Density functional theory data (PBE) for a relaxed Tm6GeSb2Se3 crystal.

Structure (POSCAR):
```
Tm6GeSb2Se3
1.0
4.1587 0.0000 0.0000
0.0000 8.2928 0.3492
-2.0793 -2.3370 8.7384
Sb Tm Ge Se
2 6 1 3
Cartesian
2.0793 3.9606 6.0375
0.0000 1.9953 3.0502
0.0000 6.3507 0.3013
0.0000 1.8219 6.0515
2.0793 -0.1409 2.8045
2.0793 4.1339 3.0362
2.0793 -0.3949 8.7864
0.0000 6.0968 6.2832
2.0793 0.0000 0.0000
2.0793 -0.1794 5.8459
0.0000 6.1352 3.2418
2.0793 4.1464 0.1746
```

Calculated values
Space-group type   C2/m
Raw formation energy   -16.457 eV per formula unit
Fermi-level density of states   0.28 states/eV/atom
Size of the total moment   0.000 μB per formula unit

Density functional theory data (PBE) for a relaxed Tm4GeSb2Se crystal.

Structure (POSCAR):
```
Tm4GeSb2Se
1.0
-3.7904 -0.1256 1.7879
1.1582 -6.9020 1.9706
2.3572 4.4497 5.3101
Tm Ge Sb Se
4 1 2 1
Cartesian
-1.0416 -0.7663 2.6542
2.1114 1.6111 4.5896
1.4040 -4.0634 2.6911
0.7666 -1.8117 6.4143
-1.3161 -3.5138 1.8792
1.7577 -1.2262 3.6403
-0.7166 2.1620 3.5490
0.0000 0.0000 0.0000
```

Calculated values
Space-group type   P2/m
Raw formation energy   -9.484 eV per formula unit
Fermi-level density of states   0.18 states/eV/atom
Size of the total moment   0.000 μB per formula unit

Density functional theory data (PBE) for a relaxed Tm6Ge2SbSe3 crystal.

Structure (POSCAR):
```
Tm6Ge2SbSe3
1.0
4.1221 0.0000 0.0000
0.0000 8.2441 0.3327
-2.0610 -2.3385 8.6502
Sb Se Ge Tm
1 3 2 6
Cartesian
2.0610 0.0000 0.0000
0.0000 6.1079 3.1212
2.0610 -0.2024 5.8617
2.0610 4.1220 0.1663
2.0610 3.9250 5.9807
0.0000 1.9805 3.0022
0.0000 5.8698 5.9960
0.0000 2.1189 0.1925
2.0610 0.0357 2.9869
2.0610 3.9448 3.1520
0.0000 1.9607 5.8309
2.0610 3.7866 8.7904
```

Calculated values
Space-group type   C2/m
Raw formation energy   -16.400 eV per formula unit
Fermi-level density of states   0.18 states/eV/atom
Size of the total moment   0.000 μB per formula unit